# PmEr12Sc7 GGA-PBE optimized geometry
data_PmEr12Sc7
_chemical_formula_sum 'Pm1 Er12 Sc7'
_cell_length_a 9.431
_cell_length_b 9.431
_cell_length_c 9.431
_cell_angle_alpha 109.47
_cell_angle_beta 109.47
_cell_angle_gamma 109.47
_symmetry_space_group_name_H-M 'P 1'
_symmetry_Int_Tables_number 1
loop_
_symmetry_equiv_pos_as_xyz
'x,y,z'
loop_
_atom_site_label
_atom_site_type_symbol
_atom_site_fract_x
_atom_site_fract_y
_atom_site_fract_z
_atom_site_occupancy
Pm1 Pm 0.000 0.000 0.000 1
Er1 Er 0.001 0.738 0.263 1
Er2 Er 0.262 0.263 0.525 1
Er3 Er 0.262 0.737 0.999 1
Er4 Er 0.263 0.001 0.738 1
Er5 Er 0.263 0.525 0.262 1
Er6 Er 0.475 0.738 0.737 1
Er7 Er 0.525 0.262 0.263 1
Er8 Er 0.737 0.475 0.738 1
Er9 Er 0.737 0.999 0.262 1
Er10 Er 0.738 0.263 0.001 1
Er11 Er 0.738 0.737 0.475 1
Er12 Er 0.999 0.262 0.737 1
Sc1 Sc 0.000 0.000 0.500 1
Sc2 Sc 0.000 0.500 0.000 1
Sc3 Sc 0.000 0.500 0.500 1
Sc4 Sc 0.500 0.000 0.000 1
Sc5 Sc 0.500 0.000 0.500 1
Sc6 Sc 0.500 0.500 0.000 1
Sc7 Sc 0.500 0.500 0.500 1
# DFT formation energy: 0.6836 eV/atom
# Polymorph energy (0 for the lowest one): 8.30 eV per formula unit
# Space group: Im-3

***

# Pm12ErSc3 GGA-PBE optimized geometry
data_Pm12ErSc3
_chemical_formula_sum 'Pm12 Er1 Sc3'
_cell_length_a 5.045
_cell_length_b 5.045
_cell_length_c 20.143
_cell_angle_alpha 90.00
_cell_angle_beta 90.00
_cell_angle_gamma 90.00
_symmetry_space_group_name_H-M 'P 1'
_symmetry_Int_Tables_number 1
loop_
_symmetry_equiv_pos_as_xyz
'x,y,z'
loop_
_atom_site_label
_atom_site_type_symbol
_atom_site_fract_x
_atom_site_fract_y
_atom_site_fract_z
_atom_site_occupancy
Pm1 Pm 0.000 0.000 0.000 1
Pm2 Pm 0.000 0.000 0.248 1
Pm3 Pm 0.000 0.000 0.500 1
Pm4 Pm 0.000 0.000 0.752 1
Pm5 Pm 0.000 0.500 0.124 1
Pm6 Pm 0.000 0.500 0.372 1
Pm7 Pm 0.000 0.500 0.628 1
Pm8 Pm 0.000 0.500 0.876 1
Pm9 Pm 0.500 0.000 0.124 1
Pm10 Pm 0.500 0.000 0.372 1
Pm11 Pm 0.500 0.000 0.628 1
Pm12 Pm 0.500 0.000 0.876 1
Er1 Er 0.500 0.500 0.500 1
Sc1 Sc 0.500 0.500 0.000 1
Sc2 Sc 0.500 0.500 0.248 1
Sc3 Sc 0.500 0.500 0.752 1
# DFT formation energy: 0.0319 eV/atom
# Space group: P4/mmm

***

# Pm7ErSc4 GGA-PBE optimized geometry
data_Pm7ErSc4
_chemical_formula_sum 'Pm7 Er1 Sc4'
_cell_length_a 6.139
_cell_length_b 7.076
_cell_length_c 8.696
_cell_angle_alpha 90.00
_cell_angle_beta 103.60
_cell_angle_gamma 90.01
_symmetry_space_group_name_H-M 'P 1'
_symmetry_Int_Tables_number 1
loop_
_symmetry_equiv_pos_as_xyz
'x,y,z'
loop_
_atom_site_label
_atom_site_type_symbol
_atom_site_fract_x
_atom_site_fract_y
_atom_site_fract_z
_atom_site_occupancy
Pm1 Pm 0.000 0.000 0.000 1
Pm2 Pm 0.223 0.499 0.664 1
Pm3 Pm 0.288 0.755 0.340 1
Pm4 Pm 0.497 0.243 0.009 1
Pm5 Pm 0.503 0.757 0.991 1
Pm6 Pm 0.712 0.245 0.660 1
Pm7 Pm 0.777 0.501 0.336 1
Er1 Er 0.000 0.500 0.000 1
Sc1 Sc 0.214 0.001 0.659 1
Sc2 Sc 0.272 0.242 0.337 1
Sc3 Sc 0.728 0.758 0.663 1
Sc4 Sc 0.786 0.999 0.341 1
# DFT formation energy: 0.0338 eV/atom
# Space group: P-1

***

Copy entry 1 word for word.
# PmEr12Sc7 GGA-PBE optimized geometry
data_PmEr12Sc7
_chemical_formula_sum 'Pm1 Er12 Sc7'
_cell_length_a 9.431
_cell_length_b 9.431
_cell_length_c 9.431
_cell_angle_alpha 109.47
_cell_angle_beta 109.47
_cell_angle_gamma 109.47
_symmetry_space_group_name_H-M 'P 1'
_symmetry_Int_Tables_number 1
loop_
_symmetry_equiv_pos_as_xyz
'x,y,z'
loop_
_atom_site_label
_atom_site_type_symbol
_atom_site_fract_x
_atom_site_fract_y
_atom_site_fract_z
_atom_site_occupancy
Pm1 Pm 0.000 0.000 0.000 1
Er1 Er 0.001 0.738 0.263 1
Er2 Er 0.262 0.263 0.525 1
Er3 Er 0.262 0.737 0.999 1
Er4 Er 0.263 0.001 0.738 1
Er5 Er 0.263 0.525 0.262 1
Er6 Er 0.475 0.738 0.737 1
Er7 Er 0.525 0.262 0.263 1
Er8 Er 0.737 0.475 0.738 1
Er9 Er 0.737 0.999 0.262 1
Er10 Er 0.738 0.263 0.001 1
Er11 Er 0.738 0.737 0.475 1
Er12 Er 0.999 0.262 0.737 1
Sc1 Sc 0.000 0.000 0.500 1
Sc2 Sc 0.000 0.500 0.000 1
Sc3 Sc 0.000 0.500 0.500 1
Sc4 Sc 0.500 0.000 0.000 1
Sc5 Sc 0.500 0.000 0.500 1
Sc6 Sc 0.500 0.500 0.000 1
Sc7 Sc 0.500 0.500 0.500 1
# DFT formation energy: 0.6836 eV/atom
# Polymorph energy (0 for the lowest one): 8.30 eV per formula unit
# Space group: Im-3

***

- Among the records above, which one has the lowest DFT formation energy?
  Pm12ErSc3

***

- Among the records above, which one has the highest DFT formation energy?
  PmEr12Sc7